Entry from Alexandria via LeMat-Bulk: a relaxed structure of HfSnPb2I (PBE).

Unit cell a=5.9901 b=5.2884 c=5.9901 alpha=90.00 beta=90.00 gamma=90.00
Closest atoms and distances in Å follow each position.
Atoms (fractional coordinates):
Pb (0.0000, 0.0000, 0.5000)  2 I 3.00
Pb (0.5000, 0.0000, 0.0000)  2 I 3.00
I (0.0000, 0.0000, 0.0000)  2 Hf 2.64
Hf (0.0000, 0.5000, 0.0000)  2 I 2.64
Sn (0.5000, 0.5000, 0.5000)  8 Pb 4.00, 4 Hf 4.24

Output
* formation energy (no corrections): 993 meV/atom

***

Entry from Alexandria via LeMat-Bulk: a relaxed structure of HfTePbI2 (PBE).

Unit cell a=5.7992 b=5.7992 c=5.8059 alpha=90.00 beta=90.00 gamma=90.00
Closest atoms and distances in Å follow each position.
Atoms (fractional coordinates):
Pb (0.5000, 0.5000, 0.5000)  4 Te 4.10, 8 I 4.10
I (0.0000, 0.5000, 0.0000)  2 Hf 2.90
I (0.5000, 0.0000, 0.0000)  2 Hf 2.90
Te (0.0000, 0.0000, 0.5000)  2 Hf 2.90
Hf (0.0000, 0.0000, 0.0000)  4 I 2.90, 2 Te 2.90

Output
* formation energy (no corrections): -92 meV/atom

***

Entry from Alexandria via LeMat-Bulk: a relaxed structure of HfTe2PbI (PBE).

Unit cell a=5.6176 b=5.6176 c=5.6168 alpha=90.00 beta=90.00 gamma=90.00
Closest atoms and distances in Å follow each position.
Atoms (fractional coordinates):
Pb (0.5000, 0.5000, 0.5000)  8 Te 3.97, 4 I 3.97
I (0.0000, 0.0000, 0.5000)  2 Hf 2.81
Te (0.0000, 0.5000, 0.0000)  2 Hf 2.81
Te (0.5000, 0.0000, 0.0000)  2 Hf 2.81
Hf (0.0000, 0.0000, 0.0000)  2 I 2.81, 4 Te 2.81

Output
* formation energy (no corrections): -190 meV/atom